No. 1
# Cs2RhSe

A relaxed Cs2RhSe crystal (GGA-PBE, Alexandria).

As for the volume: 36.72 Å³/atom. The density is 5.061 g/cm3. The formation energy (no corrections) is 0.33 eV per atom. The calculation puts the energy relative to the lowest polymorph listed for this composition at 253.9 kJ/mol of formula units.

The structure belongs to space group Fm-3m (No. 225); the cell edges are 8.375, 8.375 and 8.375 Å and the angles 90.00°, 90.00° and 90.00°. The distinct sites, in fractional coordinates, are Cs at (0.250, 0.250, 0.250), Rh at (0.000, 0.000, 0.000) and Se at (0.000, 0.000, 0.500).



No. 2
# K6Te2O

A relaxed K6Te2O crystal (GGA-PBE, Alexandria).

As for the volume: 34.00 Å³/atom. The density is 2.745 g/cm3. The formation energy (no corrections) is -0.92 eV per atom. The calculation puts the energy relative to the lowest polymorph listed for this composition at 98.0 kJ/mol of formula units.

The structure belongs to space group Amm2 (No. 38); the cell edges are 4.529, 15.274 and 8.846 Å and the angles 90.00°, 90.00° and 90.00°. The distinct sites, in fractional coordinates, are K at (0.000, 0.000, 0.000), K at (0.000, 0.108, 0.677), K at (0.500, 0.000, 0.378), K at (0.500, 0.201, 0.986), Te at (0.000, 0.167, 0.285) and O at (0.500, 0.000, 0.788).



No. 3
# Al2RhPb

A relaxed Al2RhPb crystal (GGA-PBE, Alexandria).

As for the volume: 20.13 Å³/atom. The density is 7.507 g/cm3. For the formation energy, the calculation gives -0.197 eV per atom.

The structure belongs to space group Cm (No. 8); the cell edges are 8.581, 3.278 and 5.834 Å and the angles 90.00°, 101.03° and 90.00°. The distinct sites, in fractional coordinates, are Al at (0.000, 0.000, 0.000), Al at (0.243, 0.000, 0.763), Rh at (0.225, 0.500, 0.080) and Pb at (0.462, 0.000, 0.432).



No. 4
# NaYZn10

A relaxed NaYZn10 crystal (GGA-PBE, Alexandria).

As for the volume: 17.35 Å³/atom. The density is 6.109 g/cm3. For the formation energy, the calculation gives -0.158 eV per atom.

The structure belongs to space group Pmmm (No. 47); the cell edges are 4.281, 5.271 and 9.228 Å and the angles 90.00°, 90.00° and 90.00°. The distinct sites, in fractional coordinates, are Na at (0.000, 0.000, 0.000), Y at (0.000, 0.500, 0.500), Zn at (0.000, 0.000, 0.324), Zn at (0.000, 0.500, 0.162), Zn at (0.500, 0.000, 0.500), Zn at (0.500, 0.258, 0.261) and Zn at (0.500, 0.500, 0.000).